{"formula": "Pm6S2N3Cl", "functional": "PBE-GGA", "state": "optimized geometry", "cell": [[3.726, 0.000, 0.000], [0.000, 7.892, -0.026], [-1.863, -2.599, 8.111]], "species": ["Pm", "Pm", "Pm", "Pm", "Pm", "Pm", "S", "S", "N", "N", "N", "Cl"], "frac_coords": [[0.320, 0.940, 0.641], [0.660, 0.604, 0.319], [0.680, 0.060, 0.359], [0.988, 0.283, 0.977], [0.012, 0.717, 0.023], [0.340, 0.396, 0.681], [0.837, 0.674, 0.674], [0.163, 0.326, 0.326], [0.500, 0.500, 0.000], [0.832, 0.167, 0.664], [0.168, 0.833, 0.336], [0.500, 0.000, 0.000]], "n_ef_per_ev_cell": 3.8, "m_tot_mub_per_cell": 0.00, "raw_formation_energy_kj_per_mol_atoms": -164.2, "vol_a3_per_atom": 19.86}